No. 1
This record from the Alexandria database describes crystalline Cu3ReC at its relaxed geometry. The functional is PBE.

a = 4.6507 Å, b = 4.6507 Å, c = 4.6507 Å
α = 90.00°, β = 90.00°, γ = 90.00°
Sites, in units of the cell vectors:
Cu 0.0000 0.0000 0.5000
Cu 0.0000 0.5000 0.0000
Cu 0.5000 0.0000 0.0000
Re 0.0000 0.0000 0.0000
C 0.5000 0.5000 0.5000

* density of states at the Fermi level: 5.78 states/eV/cell
* space group: Pm-3m (221)
* crystal system: cubic
* E above lowest polymorph: 1.844 eV/atom


No. 2
This record from the Alexandria database describes crystalline CuRe2C at its relaxed geometry. The functional is PBE.

a = 6.7931 Å, b = 6.7931 Å, c = 6.7931 Å
α = 140.68°, β = 140.68°, γ = 56.82°
Sites, in units of the cell vectors:
Cu 0.0000 0.0000 0.0000
Cu 0.7500 0.2500 0.5000
Re 0.2317 0.6250 0.1067
Re 0.3750 0.4817 0.6067
Re 0.5183 0.1250 0.8933
Re 0.8750 0.7683 0.3933
C 0.2500 0.7500 0.5000
C 0.5000 0.5000 0.0000

* density of states at the Fermi level: 6.47 states/eV/cell
* space group: I-42d (122)
* crystal system: tetragonal
* E above lowest polymorph: 0.522 eV/atom


No. 3
This record from the Alexandria database describes crystalline Sc2CuReC at its relaxed geometry. The functional is PBE.

a = 4.5006 Å, b = 4.5006 Å, c = 3.9505 Å
α = 90.00°, β = 90.00°, γ = 90.00°
Sites, in units of the cell vectors:
Sc 0.0000 0.5000 0.0000
Sc 0.5000 0.0000 0.0000
Cu 0.0000 0.0000 0.5000
Re 0.5000 0.5000 0.5000
C 0.5000 0.5000 0.0000

* density of states at the Fermi level: 4.56 states/eV/cell
* space group: P4/mmm (123)
* crystal system: tetragonal


Result set for ρ: 6.4; 11.9; 7.3 g/cm³, one per record in the order listed.
Result set for ΔH_f (0 K): 14.20; 5.12; -1.03 eV/f.u., one per record in the order listed.